DFT (PBE-GGA) results for a relaxed structure of LaPmNdHo2.

Results
Its spin magnetization is 0.000 μB/cell. The energy relative to the elements comes out at 0.338 eV/atom. The density of states at the Fermi level comes out at 15.64 states/eV/cell. The calculation puts the electronic total energy at -21.91 eV per formula unit.

Lattice parameters (Å, degrees): 7.238 8.509 7.218 126.12 90.00 90.00
Sites, in units of the cell vectors:
La1 0.750 0.734 0.468
La2 0.250 0.266 0.532
Pm1 0.250 0.722 0.443
Pm2 0.750 0.278 0.557
Nd1 0.250 0.999 0.999
Nd2 0.750 0.001 0.001
Ho1 0.500 0.313 0.000
Ho2 0.000 0.687 0.000
Ho3 0.500 0.687 0.000
Ho4 0.000 0.313 0.000